Record 1
Co2RhAu after structural relaxation. Source: the Alexandria database, functional PBE.

Values from the calculation:
The formation energy comes out at 0.214 eV/atom. The calculation puts the magnetic moment at 4.69 μB per formula unit. The space group is P4/mmm. As for the density of states at the Fermi level: 5.18 states/eV/cell. The value obtained for the total energy is -5.996 eV per atom.

Lattice parameters (Å, degrees): 3.1523 3.1523 5.6163 90.00 90.00 90.00
Closest atoms and distances in Å follow each position.
Positions (direct):
1 Co 0.0000 0.0000 0.2233  1 Co 2.51, 4 Rh 2.56, 4 Au 2.72
2 Co 0.0000 0.0000 0.7767  1 Co 2.51, 4 Rh 2.56, 4 Au 2.72
3 Rh 0.5000 0.5000 0.0000  8 Co 2.56, 2 Au 2.81
4 Au 0.5000 0.5000 0.5000  8 Co 2.72, 2 Rh 2.81

=====

Record 2
TaTe2O after structural relaxation. Source: the Alexandria database, functional PBE.

Values from the calculation:
Its formation energy from raw total energies is 0.28 eV per atom. The calculation puts the magnetic moment at 0.00 μB per formula unit. The space group is I-42d. As for the density of states at the Fermi level: 5.76 states/eV/cell. The value obtained for the total energy is -5.496 eV per atom.

Lattice parameters (Å, degrees): 7.1390 7.1390 7.1390 131.03 131.03 71.76
Closest atoms and distances in Å follow each position.
Positions (direct):
1 Ta 0.0000 0.0000 0.0000  4 Te 2.67
2 Ta 0.7500 0.2500 0.5000  4 Te 2.67
3 Te 0.1605 0.6250 0.0355  2 O 2.43, 2 Ta 2.67
4 Te 0.3750 0.4105 0.5355  2 O 2.43, 2 Ta 2.67
5 Te 0.5895 0.1250 0.9645  2 O 2.43, 2 Ta 2.67
6 Te 0.8750 0.8395 0.4645  2 O 2.43, 2 Ta 2.67
7 O 0.2500 0.7500 0.5000  4 Te 2.43
8 O 0.5000 0.5000 0.0000  4 Te 2.43